i:
Compound: Tl3Pt
Source: the Alexandria database
Functional: GGA-PBE
Structure: relaxed

POSCAR file:
```
Tl3Pt
1.0
7.4452 0.8539 -0.0967
4.6708 5.8604 0.0967
-5.5814 -4.2172 2.6894
Tl Pt
3 1
Cartesian
8.2642 4.5797 0.0000
-0.4553 0.8216 1.3931
3.8519 2.1346 0.0000
0.9319 -1.6817 1.2964
```

Space-group type   Immm (71)
Fermi-level density of states   2.17 states/eV/f.u.
M_tot   0.000 μB/atom



ii:
Compound: Tl3Pt
Source: the Alexandria database
Functional: GGA-PBE
Structure: relaxed

POSCAR file:
```
Tl3Pt
1.0
-2.9380 -5.0783 -0.1756
3.4604 -2.1482 4.2265
-3.7210 2.0120 4.0692
Pt Tl
2 6
Cartesian
-1.5993 -2.6072 4.0600
0.0000 0.0000 0.0000
-4.2598 -1.0301 2.9641
-0.9954 0.4690 3.0912
-0.4733 -4.8828 1.9815
-2.3993 -2.0362 0.9295
0.7348 -0.6051 5.2045
0.9957 -2.3437 2.0693
```

Space-group type   Pm-3n (223)
Fermi-level density of states   3.22 states/eV/f.u.
M_tot   0.000 μB/atom



Decreasing stability: i, ii